# SrLi3MnN3

A geometry-optimized SrLi3MnN3 structure (PBE, Alexandria).

Output
E_form (uncorrected): -0.61 eV per atom
Density of states at the Fermi level: 1.06 states/eV per cell
Space-group type: No. 148
Total magnetization: 4.00 μB per cell

a = 7.2264 Å, b = 7.2264 Å, c = 7.2264 Å
α = 47.94°, β = 47.94°, γ = 47.94°
Atoms (fractional coordinates):
Sr  0.1622  0.1622  0.1622
Sr  0.8378  0.8378  0.8378
Li  0.0238  0.6049  0.2629
Li  0.2629  0.0238  0.6049
Li  0.3951  0.7371  0.9762
Li  0.6049  0.2629  0.0238
Li  0.7371  0.9762  0.3951
Li  0.9762  0.3951  0.7371
Mn  0.4329  0.4329  0.4329
Mn  0.5671  0.5671  0.5671
N  0.1203  0.7053  0.4045
N  0.2947  0.5955  0.8797
N  0.4045  0.1203  0.7053
N  0.5955  0.8797  0.2947
N  0.7053  0.4045  0.1203
N  0.8797  0.2947  0.5955